Density functional theory data (PBE) for a geometry-optimized KNb3As structure.

Summary:
**Formation energy from the elements**: 1.03 eV per atom
**Electronic total energy**: -6.1570 eV/atom
**Polymorph energy (0 for the lowest one)**: 0 meV/atom

Unit cell a=4.9558 b=4.9558 c=4.9558 alpha=90.00 beta=90.00 gamma=90.00
Space group Pm-3m (No. 221)
Asymmetric unit:
K (0.0000, 0.0000, 0.0000) (multiplicity 1)
Nb (0.0000, 0.5000, 0.5000) (multiplicity 3)
As (0.5000, 0.5000, 0.5000) (multiplicity 1)